Below is a relaxed Pu2In9Ga crystal, with properties calculated at the PBE level.

## Properties
Formation energy, meV per atom: -115
Calculated total energy, eV/atom: -4.81

Geometry as POSCAR:
```
Pu2In9Ga
1.0
4.651 0.000 0.000
0.000 4.651 0.000
0.000 0.000 14.046
Pu In Ga
2 9 1
Direct
0.000 0.000 0.168
0.000 0.000 0.832
0.000 0.500 0.000
0.000 0.500 0.336
0.000 0.500 0.664
0.500 0.000 0.000
0.500 0.000 0.336
0.500 0.000 0.664
0.500 0.500 0.163
0.500 0.500 0.500
0.500 0.500 0.837
0.000 0.000 0.500
```